Material: Pr4Nd6Er
Method: DFT, PBE
State: relaxed

Results
M_tot   0.0 μB/cell
Space-group type   I-42m, No. 121
Calculated formation energy   269.2 meV per atom

Unit cell a=6.782 b=6.782 c=9.907 alpha=110.02 beta=110.02 gamma=90.00
Element x y z (fractional)
Nd 0.500 0.000 0.000
Nd 0.486 0.865 0.351
Nd 0.000 0.500 0.000
Nd 0.865 0.486 0.351
Nd 0.135 0.135 0.649
Nd 0.514 0.514 0.649
Pr 0.304 0.304 0.254
Pr 0.950 0.950 0.254
Pr 0.050 0.696 0.746
Pr 0.696 0.050 0.746
Er 0.500 0.500 0.000



Material: Pr4Nd3Er4
Method: DFT, PBE
State: relaxed

Results
M_tot   0.0 μB/cell
Space-group type   Immm, No. 71
Relative energy among the computed polymorphs   0.000 eV/atom
Calculated formation energy   18.7 meV per atom

Unit cell a=3.641 b=5.121 c=20.179 alpha=97.27 beta=95.20 gamma=90.04
Element x y z (fractional)
Er 0.272 0.272 0.543
Er 0.092 0.092 0.184
Er 0.728 0.728 0.457
Er 0.908 0.908 0.816
Nd 0.000 0.000 0.000
Nd 0.363 0.363 0.726
Nd 0.637 0.637 0.274
Pr 0.183 0.183 0.366
Pr 0.547 0.546 0.093
Pr 0.817 0.817 0.634
Pr 0.453 0.454 0.907